## Cd3GeSb (GGA-PBEsol)

Data for a relaxed structure of Cd3GeSb.

Results
Total energy = -1.83 eV per atom
E_form (uncorrected) = 0.787 eV per atom
Symmetry = Pm-3m

a b c (Å): 5.4189 5.4189 5.4189
angles (deg): 90.00 90.00 90.00
Closest atoms and distances in Å follow each position.
Sites, in units of the cell vectors:
Cd: 0.0000 0.0000 0.5000  2 Sb 2.71
Cd: 0.0000 0.5000 0.0000  2 Sb 2.71
Cd: 0.5000 0.0000 0.0000  2 Sb 2.71
Ge: 0.5000 0.5000 0.5000  12 Cd 3.83
Sb: 0.0000 0.0000 0.0000  6 Cd 2.71

## NaAuN2O (GGA-PBEsol)

Data for a relaxed structure of NaAuN2O.

Results
Total energy = -3.27 eV per atom
E_form (uncorrected) = 2.252 eV per atom
Symmetry = P4/mmm

a b c (Å): 4.2564 4.2564 4.0613
angles (deg): 90.00 90.00 90.00
Closest atoms and distances in Å follow each position.
Sites, in units of the cell vectors:
Na: 0.0000 0.0000 0.0000  2 O 2.03, 4 N 2.13
Au: 0.5000 0.5000 0.5000  8 N 2.94, 4 O 3.01
N: 0.0000 0.5000 0.0000  2 Na 2.13
N: 0.5000 0.0000 0.0000  2 Na 2.13
O: 0.0000 0.0000 0.5000  2 Na 2.03

## MgTe (GGA-PBEsol)

Data for a relaxed structure of MgTe.

Results
Total energy = -3.44 eV per atom
E_form (uncorrected) = -0.820 eV per atom
Symmetry = F-43m

a b c (Å): 4.5558 4.5558 4.5558
angles (deg): 60.00 60.00 60.00
Closest atoms and distances in Å follow each position.
Sites, in units of the cell vectors:
Mg: 0.0000 0.0000 0.0000  4 Te 2.79
Te: 0.7500 0.7500 0.7500  4 Mg 2.79

## Li3HfBi (GGA-PBEsol)

Data for a relaxed structure of Li3HfBi.

Results
Total energy = -3.03 eV per atom
Symmetry = Pm-3m
DFT formation energy = 1.11 eV per atom

a b c (Å): 5.0707 5.0707 5.0707
angles (deg): 90.00 90.00 90.00
Closest atoms and distances in Å follow each position.
Sites, in units of the cell vectors:
Li: 0.0000 0.0000 0.5000  2 Hf 2.54
Li: 0.0000 0.5000 0.0000  2 Hf 2.54
Li: 0.5000 0.0000 0.0000  2 Hf 2.54
Hf: 0.0000 0.0000 0.0000  6 Li 2.54
Bi: 0.5000 0.5000 0.5000  12 Li 3.59

## HgPW2 (GGA-PBEsol)

Data for a relaxed structure of HgPW2.

Results
Total energy = -7.83 eV per atom
Symmetry = Fm-3m
DFT formation energy = 0.66 eV per atom

a b c (Å): 4.4324 4.4324 4.4324
angles (deg): 60.00 60.00 60.00
Closest atoms and distances in Å follow each position.
Sites, in units of the cell vectors:
Hg: 0.0000 0.0000 0.0000  8 W 2.71
P: 0.5000 0.5000 0.5000  8 W 2.71
W: 0.2500 0.2500 0.2500  4 Hg 2.71, 4 P 2.71
W: 0.7500 0.7500 0.7500  4 Hg 2.71, 4 P 2.71

## CaTa (GGA-PBEsol)

Data for a relaxed structure of CaTa.

Results
Total energy = -5.96 eV per atom
Symmetry = Pm-3m
DFT formation energy = 1.38 eV per atom

a b c (Å): 3.5935 3.5935 3.5935
angles (deg): 90.00 90.00 90.00
Closest atoms and distances in Å follow each position.
Sites, in units of the cell vectors:
Ca: 0.0000 0.0000 0.0000  8 Ta 3.11
Ta: 0.5000 0.5000 0.5000  8 Ca 3.11

## CeMg5 (GGA-PBEsol)

Data for a relaxed structure of CeMg5.

Results
Total energy = -2.46 eV per atom
Symmetry = Cm
DFT formation energy = 0.07 eV per atom

a b c (Å): 6.6483 6.6483 7.4860
angles (deg): 103.81 103.81 26.73
Closest atoms and distances in Å follow each position.
Sites, in units of the cell vectors:
Ce: 0.0000 0.0000 0.0000  2 Ce 3.07, 9 Mg 3.28-3.42
Mg: 0.2779 0.2779 0.0723  9 Mg 3.07-3.33, 2 Ce 3.42
Mg: 0.3268 0.3268 0.6667  9 Mg 3.07-3.25, 2 Ce 3.30
Mg: 0.6272 0.6272 0.7308  9 Mg 3.06-3.24, 2 Ce 3.28
Mg: 0.6700 0.6700 0.3461  9 Mg 3.06-3.37, 2 Ce 3.33
Mg: 0.9513 0.9513 0.4139  10 Mg 3.07-3.37, 1 Ce 3.31

## LiVP3O9 (GGA-PBEsol)

Data for a relaxed structure of LiVP3O9.

Results
Total energy = -7.53 eV per atom
E_form (uncorrected) = -2.088 eV per atom
Symmetry = P2_12_12_1

a b c (Å): 5.3453 10.5411 11.9274
angles (deg): 90.00 90.00 90.00
Closest atoms and distances in Å follow each position.
Sites, in units of the cell vectors:
Li: 0.2344 0.1421 0.0479  3 O 1.97-2.01
Li: 0.2656 0.8579 0.5479  3 O 1.97-2.01
Li: 0.7344 0.3579 0.9521  3 O 1.97-2.01
Li: 0.7656 0.6421 0.4521  3 O 1.97-2.01
V: 0.0959 0.4653 0.1265  6 O 2.09-2.20
V: 0.4041 0.5347 0.6265  6 O 2.09-2.20
V: 0.5959 0.0347 0.8735  6 O 2.09-2.20
V: 0.9041 0.9653 0.3735  6 O 2.09-2.20
P: 0.0778 0.1921 0.8201  4 O 1.50-1.59
P: 0.0893 0.8468 0.8673  4 O 1.49-1.63
P: 0.1252 0.5716 0.8693  4 O 1.50-1.63
P: 0.3748 0.4284 0.3693  4 O 1.50-1.63
P: 0.4107 0.1532 0.3673  4 O 1.49-1.63
P: 0.4222 0.8079 0.3201  4 O 1.50-1.59
P: 0.5778 0.3079 0.1799  4 O 1.50-1.59
P: 0.5893 0.6532 0.1327  4 O 1.49-1.63
P: 0.6252 0.9284 0.1307  4 O 1.50-1.63
P: 0.8748 0.0716 0.6307  4 O 1.50-1.63
P: 0.9107 0.3468 0.6327  4 O 1.49-1.63
P: 0.9222 0.6921 0.6799  4 O 1.50-1.59
O: 0.0213 0.4760 0.9512  1 P 1.51
O: 0.0738 0.3172 0.7457  2 P 1.59-1.63
O: 0.0770 0.4358 0.5690  1 P 1.50
O: 0.0867 0.0828 0.7280  2 P 1.59-1.63
O: 0.0954 0.7093 0.9267  2 P 1.61
O: 0.1322 0.4483 0.3095  1 P 1.50
O: 0.1486 0.1152 0.3408  1 P 1.49
O: 0.1613 0.6932 0.6116  1 P 1.52
O: 0.1852 0.8201 0.3867  1 P 1.50
O: 0.3148 0.1799 0.8867  1 P 1.50
O: 0.3387 0.3068 0.1116  1 P 1.52
O: 0.3514 0.8848 0.8408  1 P 1.49
O: 0.3678 0.5517 0.8095  1 P 1.50
O: 0.4046 0.2907 0.4267  2 P 1.61
O: 0.4133 0.9172 0.2280  2 P 1.59-1.63
O: 0.4230 0.5642 0.0690  1 P 1.50
O: 0.4262 0.6828 0.2457  2 P 1.59-1.63
O: 0.4787 0.5240 0.4512  1 P 1.51
O: 0.5213 0.0240 0.0488  1 P 1.51
O: 0.5738 0.1828 0.2543  2 P 1.59-1.63
O: 0.5770 0.0642 0.4310  1 P 1.50
O: 0.5867 0.4172 0.2720  2 P 1.59-1.63
O: 0.5954 0.7907 0.0733  2 P 1.61
O: 0.6322 0.0517 0.6905  1 P 1.50
O: 0.6486 0.3848 0.6592  1 P 1.49
O: 0.6613 0.8068 0.3884  1 P 1.52
O: 0.6852 0.6799 0.6133  1 P 1.50
O: 0.8148 0.3201 0.1133  1 P 1.50
O: 0.8387 0.1932 0.8884  1 P 1.52
O: 0.8514 0.6152 0.1592  1 P 1.49
O: 0.8678 0.9483 0.1905  1 P 1.50
O: 0.9046 0.2093 0.5733  2 P 1.61
O: 0.9133 0.5828 0.7720  2 P 1.59-1.63
O: 0.9230 0.9358 0.9310  1 P 1.50
O: 0.9262 0.8172 0.7543  2 P 1.59-1.63
O: 0.9787 0.9760 0.5488  1 P 1.51

## CaY2Te (GGA-PBEsol)

Data for a relaxed structure of CaY2Te.

Results
Total energy = -5.46 eV per atom
E_form (uncorrected) = -0.631 eV per atom
Symmetry = P4mm

a b c (Å): 3.8589 3.8589 8.1064
angles (deg): 90.00 90.00 90.00
Closest atoms and distances in Å follow each position.
Sites, in units of the cell vectors:
Ca: 0.0000 0.0000 0.0000  4 Te 3.36, 5 Y 3.56-3.70
Y: 0.0000 0.0000 0.4387  4 Te 3.16, 4 Y 3.41
Y: 0.5000 0.5000 0.6912  4 Y 3.41, 1 Te 3.64, 4 Ca 3.70
Te: 0.5000 0.5000 0.2423  4 Y 3.16, 4 Ca 3.36

## Ba2MgSc (GGA-PBEsol)

Data for a relaxed structure of Ba2MgSc.

Results
Total energy = -2.85 eV per atom
Symmetry = R-3m
DFT formation energy = 0.30 eV per atom

a b c (Å): 12.0965 12.0965 12.0965
angles (deg): 17.98 17.98 17.98
Closest atoms and distances in Å follow each position.
Sites, in units of the cell vectors:
Ba: 0.2494 0.2494 0.2494  3 Sc 3.67, 3 Mg 3.71, 6 Ba 3.78
Ba: 0.7506 0.7506 0.7506  3 Sc 3.67, 3 Mg 3.71, 6 Ba 3.78
Mg: 0.0000 0.0000 0.0000  6 Ba 3.71, 6 Mg 3.78
Sc: 0.5000 0.5000 0.5000  6 Ba 3.67, 6 Sc 3.78

## Sc2InMo (GGA-PBEsol)

Data for a relaxed structure of Sc2InMo.

Results
Total energy = -6.93 eV per atom
Symmetry = F-43m
DFT formation energy = 0.06 eV per atom

a b c (Å): 4.7647 4.7647 4.7647
angles (deg): 60.00 60.00 60.00
Closest atoms and distances in Å follow each position.
Sites, in units of the cell vectors:
Sc: 0.0000 0.0000 0.0000  4 In 2.92, 4 Sc 2.92
Sc: 0.2500 0.2500 0.2500  4 Mo 2.92, 4 Sc 2.92
In: 0.7500 0.7500 0.7500  4 Mo 2.92, 4 Sc 2.92
Mo: 0.5000 0.5000 0.5000  4 In 2.92, 4 Sc 2.92

## Tc2IrSe (GGA-PBEsol)

Data for a relaxed structure of Tc2IrSe.

Results
Total energy = -8.59 eV per atom
E_form (uncorrected) = 0.460 eV per atom
Symmetry = Pmmm

a b c (Å): 2.8493 4.4682 4.5927
angles (deg): 90.00 90.00 90.00
Closest atoms and distances in Å follow each position.
Sites, in units of the cell vectors:
Tc: 0.0000 0.0000 0.0000  6 Tc 2.65-2.85, 4 Se 2.70
Tc: 0.5000 0.5000 0.0000  6 Tc 2.65-2.85, 4 Ir 2.70
Ir: 0.0000 0.5000 0.5000  4 Se 2.65, 4 Tc 2.70, 2 Ir 2.85
Se: 0.5000 0.0000 0.5000  4 Ir 2.65, 4 Tc 2.70, 2 Se 2.85

Q: Among the records above, which one has the lowest total energy?
A: Tc2IrSe